Below is crystalline RbFeTe2AuS at its relaxed geometry, with properties calculated at the PBE-GGA level.

a b c (Å): 7.9527 7.9527 11.2309
angles (deg): 90.00 90.00 151.47
With the nearest neighbours (Å) after each atom.
Sites, in units of the cell vectors:
Rb (0.7570, 0.2430, 0.2500)  2 S 3.38, 2 Te 3.75
Rb (0.2430, 0.7570, 0.7500)  2 S 3.38, 2 Te 3.75
Au (0.0325, 0.9675, 0.2500)  2 S 2.47, 2 Te 2.74
Au (0.9675, 0.0325, 0.7500)  2 S 2.47, 2 Te 2.74
Te (0.1146, 0.8854, 0.0331)  2 Fe 2.66, 1 Au 2.74
Te (0.8854, 0.1146, 0.9669)  2 Fe 2.66, 1 Au 2.74
Te (0.1146, 0.8854, 0.4669)  2 Fe 2.66, 1 Au 2.74
Te (0.8854, 0.1146, 0.5331)  2 Fe 2.66, 1 Au 2.74
S (0.5646, 0.4354, 0.7500)  2 Au 2.47
S (0.4354, 0.5646, 0.2500)  2 Au 2.47
Fe (0.5000, 0.5000, 0.0000)  4 Te 2.66, 2 S 2.98
Fe (0.5000, 0.5000, 0.5000)  4 Te 2.66, 2 S 2.98

The value obtained for the total energy is -47.74 eV/cell. As for the calculated volume: 28.3 A^3/atom. The value obtained for the density is 6.12 Mg/m³. As for the magnetization: 3.4 μB per formula unit.